(1)
This record from Alexandria via LeMat-Bulk describes an optimized crystal structure of PmGaNiH. The functional is PBE-GGA.

Output
Space group ... P3m1
E_tot ... -4.7479 eV/atom
Size of the total moment ... 0.000 μB/cell
D(E_F) ... 3.2 states/eV/f.u.

Unit cell a=4.164 b=4.165 c=4.200 alpha=90.00 beta=90.00 gamma=119.99
Atoms (fractional coordinates):
1 Pm 0.572 0.144 0.316
2 Ga 0.905 0.811 0.805
3 Ni 0.239 0.477 0.867
4 H 0.239 0.477 0.251

(2)
This record from Alexandria via LeMat-Bulk describes an optimized crystal structure of PmGaNi2H. The functional is PBE-GGA.

Output
Space group ... Cmcm
E_tot ... -5.0518 eV/atom
Size of the total moment ... 0.000 μB/cell
D(E_F) ... 2.1 states/eV/f.u.

Unit cell a=3.816 b=5.559 c=7.006 alpha=90.00 beta=90.00 gamma=110.07
Atoms (fractional coordinates):
1 Pm 0.436 0.873 0.750
2 Pm 0.564 0.127 0.250
3 Ga 0.719 0.438 0.750
4 Ga 0.281 0.562 0.250
5 Ni 0.159 0.318 0.943
6 Ni 0.841 0.682 0.057
7 Ni 0.159 0.318 0.557
8 Ni 0.841 0.682 0.443
9 H 0.000 0.000 0.000
10 H 0.000 0.000 0.500

(3)
This record from Alexandria via LeMat-Bulk describes an optimized crystal structure of Pm2GaNi12H3. The functional is PBE-GGA.

Output
Space group ... R-3m
E_tot ... -5.1953 eV/atom
Size of the total moment ... 0.000 μB/cell
D(E_F) ... 13.2 states/eV/f.u.

Unit cell a=6.963 b=6.963 c=6.963 alpha=55.98 beta=55.98 gamma=55.98
Atoms (fractional coordinates):
1 Pm 0.600 0.600 0.600
2 Pm 0.400 0.400 0.400
3 Ga 0.000 0.000 0.000
4 Ni 0.279 0.279 0.904
5 Ni 0.865 0.865 0.452
6 Ni 0.452 0.865 0.865
7 Ni 0.904 0.279 0.279
8 Ni 0.865 0.452 0.865
9 Ni 0.279 0.904 0.279
10 Ni 0.721 0.721 0.096
11 Ni 0.135 0.135 0.548
12 Ni 0.548 0.135 0.135
13 Ni 0.096 0.721 0.721
14 Ni 0.135 0.548 0.135
15 Ni 0.721 0.096 0.721
16 H 0.500 0.000 0.000
17 H 0.000 0.500 0.000
18 H 0.000 0.000 0.500

(4)
This record from Alexandria via LeMat-Bulk describes an optimized crystal structure of Pr2GaNi12H3. The functional is PBE-GGA.

Output
Space group ... R-3m
E_tot ... -5.1785 eV/atom
Size of the total moment ... 0.000 μB/cell
D(E_F) ... 13.0 states/eV/f.u.

Unit cell a=7.036 b=7.036 c=7.036 alpha=55.46 beta=55.46 gamma=55.46
Atoms (fractional coordinates):
1 Pr 0.601 0.601 0.601
2 Pr 0.399 0.399 0.399
3 Ga 0.000 0.000 0.000
4 Ni 0.280 0.280 0.906
5 Ni 0.868 0.868 0.451
6 Ni 0.451 0.868 0.868
7 Ni 0.906 0.280 0.280
8 Ni 0.868 0.451 0.868
9 Ni 0.280 0.906 0.280
10 Ni 0.720 0.720 0.094
11 Ni 0.132 0.132 0.549
12 Ni 0.549 0.132 0.132
13 Ni 0.094 0.720 0.720
14 Ni 0.132 0.549 0.132
15 Ni 0.720 0.094 0.720
16 H 0.500 0.000 0.000
17 H 0.000 0.500 0.000
18 H 0.000 0.000 0.500

(5)
This record from Alexandria via LeMat-Bulk describes an optimized crystal structure of Pr2GaNiH. The functional is PBE-GGA.

Output
Space group ... P2_1/m
E_tot ... -4.8047 eV/atom
Size of the total moment ... 0.000 μB/cell
D(E_F) ... 3.9 states/eV/f.u.

Unit cell a=4.244 b=6.219 c=8.034 alpha=104.95 beta=90.00 gamma=90.00
Atoms (fractional coordinates):
1 Pr 0.750 0.774 0.589
2 Pr 0.750 0.760 0.033
3 Pr 0.250 0.226 0.411
4 Pr 0.250 0.240 0.967
5 Ga 0.250 0.674 0.294
6 Ga 0.750 0.326 0.706
7 Ni 0.250 0.557 0.765
8 Ni 0.750 0.443 0.235
9 H 0.250 0.827 0.833
10 H 0.750 0.173 0.167

(6)
This record from Alexandria via LeMat-Bulk describes an optimized crystal structure of PrGaNi2H. The functional is PBE-GGA.

Output
Space group ... Cmcm
E_tot ... -5.0313 eV/atom
Size of the total moment ... 0.000 μB/cell
D(E_F) ... 2.2 states/eV/f.u.

Unit cell a=3.881 b=5.620 c=6.995 alpha=90.00 beta=90.00 gamma=110.20
Atoms (fractional coordinates):
1 Pr 0.434 0.868 0.750
2 Pr 0.566 0.132 0.250
3 Ga 0.717 0.434 0.750
4 Ga 0.283 0.566 0.250
5 Ni 0.160 0.320 0.942
6 Ni 0.840 0.680 0.058
7 Ni 0.160 0.320 0.558
8 Ni 0.840 0.680 0.442
9 H 0.000 0.000 0.000
10 H 0.000 0.000 0.500

(7)
This record from Alexandria via LeMat-Bulk describes an optimized crystal structure of PuGaNi2H. The functional is PBE-GGA.

Output
Space group ... Cmcm
E_tot ... -6.7878 eV/atom
Size of the total moment ... 10.255 μB/cell
D(E_F) ... 12.7 states/eV/f.u.

Unit cell a=3.871 b=5.574 c=6.719 alpha=90.00 beta=90.00 gamma=110.32
Each line ends with the local moment (μB).
Atoms (fractional coordinates):
1 Pu 0.436 0.873 0.750  5.12
2 Pu 0.564 0.127 0.250  5.12
3 Ga 0.718 0.435 0.750  -0.01
4 Ga 0.282 0.565 0.250  -0.01
5 Ni 0.158 0.317 0.944  -0.09
6 Ni 0.842 0.683 0.056  -0.09
7 Ni 0.158 0.317 0.556  -0.09
8 Ni 0.842 0.683 0.444  -0.09
9 H 0.000 0.000 0.000  -0.01
10 H 0.000 0.000 0.500  -0.01

(8)
This record from Alexandria via LeMat-Bulk describes an optimized crystal structure of GaReNi2H. The functional is PBE-GGA.

Output
Space group ... P4/mmm
E_tot ... -6.0556 eV/atom
Size of the total moment ... 0.001 μB/cell
D(E_F) ... 5.0 states/eV/f.u.

Unit cell a=3.666 b=3.666 c=3.965 alpha=90.00 beta=90.00 gamma=90.00
Atoms (fractional coordinates):
1 Re 0.000 0.000 0.500
2 H 0.000 0.000 0.000
3 Ga 0.500 0.500 0.500
4 Ni 0.000 0.500 0.000
5 Ni 0.500 0.000 0.000

(9)
This record from Alexandria via LeMat-Bulk describes an optimized crystal structure of GaNiH2Rh. The functional is PBE-GGA.

Output
Space group ... I4mm
E_tot ... -4.7747 eV/atom
Size of the total moment ... 0.000 μB/cell
D(E_F) ... 2.1 states/eV/f.u.

Unit cell a=3.044 b=3.044 c=5.347 alpha=106.54 beta=106.54 gamma=90.00
Atoms (fractional coordinates):
1 Ga 0.507 0.507 0.014
2 Ni 0.147 0.147 0.293
3 H 0.745 0.245 0.491
4 H 0.245 0.745 0.491
5 Rh 0.856 0.856 0.712

(10)
This record from Alexandria via LeMat-Bulk describes an optimized crystal structure of GaNiHRh2. The functional is PBE-GGA.

Output
Space group ... P4/mmm
E_tot ... -5.6791 eV/atom
Size of the total moment ... 0.000 μB/cell
D(E_F) ... 4.1 states/eV/f.u.

Unit cell a=3.978 b=3.978 c=3.535 alpha=90.00 beta=90.00 gamma=90.00
Atoms (fractional coordinates):
1 Ni 0.000 0.000 0.500
2 Rh 0.000 0.500 0.000
3 Rh 0.500 0.000 0.000
4 Ga 0.500 0.500 0.500
5 H 0.000 0.000 0.000

(11)
This record from Alexandria via LeMat-Bulk describes an optimized crystal structure of GaNiHRu2. The functional is PBE-GGA.

Output
Space group ... P4/mmm
E_tot ... -6.1979 eV/atom
Size of the total moment ... 0.000 μB/cell
D(E_F) ... 3.6 states/eV/f.u.

Unit cell a=4.081 b=4.081 c=3.324 alpha=90.00 beta=90.00 gamma=90.00
Atoms (fractional coordinates):
1 Ru 0.000 0.500 0.000
2 Ru 0.500 0.000 0.000
3 H 0.000 0.000 0.000
4 Ga 0.500 0.500 0.500
5 Ni 0.000 0.000 0.500

(12)
This record from Alexandria via LeMat-Bulk describes an optimized crystal structure of GaNi2HRu. The functional is PBE-GGA.

Output
Space group ... P4/mmm
E_tot ... -5.6149 eV/atom
Size of the total moment ... 0.000 μB/cell
Energy relative to the lowest polymorph listed for this composition ... 0.000 eV/f.u.
D(E_F) ... 4.8 states/eV/f.u.

Unit cell a=3.662 b=3.662 c=3.885 alpha=90.00 beta=90.00 gamma=90.00
Atoms (fractional coordinates):
1 Ru 0.000 0.000 0.500
2 H 0.000 0.000 0.000
3 Ga 0.500 0.500 0.500
4 Ni 0.000 0.500 0.000
5 Ni 0.500 0.000 0.000